GGA-PBE V2H, optimized geometry; E = -7.350 eV per atom; SG = C2/m (12)
1.0
2.215 -1.474 0.000
2.215 1.474 0.000
-0.557 0.000 4.423
V H
2 1
Direct
0.230 0.230 0.268
0.770 0.770 0.732
0.500 0.500 0.000